No. 1
This record from Alexandria via LeMat-Bulk describes a relaxed structure of ZrAl2Si3. The functional is PBE-GGA.

Cell: 5.702 5.702 6.896 Å, 90.00 90.00 120.00°
Fractional positions:
Al: 0.500 0.000 0.000
Si: 0.846 0.693 0.300
Zr: 0.667 0.333 0.612
Al: 0.000 0.000 0.000
Al: 0.000 0.500 0.000
Al: 0.500 0.500 0.000
Si: 0.307 0.154 0.300
Si: 0.846 0.154 0.300
Si: 0.693 0.846 0.700
Si: 0.154 0.846 0.700
Zr: 0.333 0.667 0.388
Si: 0.154 0.307 0.700

Output
- E: -33.3 eV per formula unit
- ΔE_f (raw): -3.85 kcal/mol of atoms
- SG: No. 164
- Energy relative to the lowest polymorph listed for this composition: 0 meV per atom

No. 2
This record from Alexandria via LeMat-Bulk describes a relaxed structure of ZrAl2Si3. The functional is PBE-GGA.

Cell: 5.148 5.148 9.512 Å, 90.00 90.00 125.33°
Fractional positions:
Al: 0.690 0.310 0.916
Zr: 0.000 0.000 0.500
Si: 0.154 0.350 0.750
Zr: 0.000 0.000 0.000
Al: 0.310 0.690 0.416
Si: 0.350 0.154 0.250
Al: 0.690 0.310 0.584
Si: 0.848 0.152 0.250
Si: 0.650 0.846 0.750
Si: 0.846 0.650 0.250
Al: 0.310 0.690 0.084
Si: 0.152 0.848 0.750

Output
- E: -32.5 eV per formula unit
- ΔE_f (raw): -0.67 kcal/mol of atoms
- SG: No. 63
- Energy relative to the lowest polymorph listed for this composition: 138 meV per atom

No. 3
This record from Alexandria via LeMat-Bulk describes a relaxed structure of Zr2AlSi5. The functional is PBE-GGA.

Cell: 8.479 8.479 8.479 Å, 152.24 152.24 39.66°
Fractional positions:
Zr: 0.750 0.750 0.000
Si: 0.500 0.500 0.000
Zr: 0.250 0.250 0.000
Si: 0.120 0.620 0.500
Si: 0.880 0.380 0.500
Si: 0.620 0.120 0.500
Al: 0.000 0.000 0.000
Si: 0.380 0.880 0.500

Output
- E: -47.9 eV per formula unit
- ΔE_f (raw): 0.06 kcal/mol of atoms
- SG: No. 139
- Energy relative to the lowest polymorph listed for this composition: 199 meV per atom

No. 4
This record from Alexandria via LeMat-Bulk describes a relaxed structure of Zr2AlSi2. The functional is PBE-GGA.

Cell: 5.345 5.345 7.268 Å, 76.79 76.79 58.88°
Fractional positions:
Si: 0.996 0.728 0.997
Zr: 0.785 0.513 0.353
Al: 0.811 0.189 0.750
Si: 0.728 0.996 0.497
Zr: 0.487 0.215 0.147
Si: 0.272 0.004 0.503
Zr: 0.215 0.487 0.647
Zr: 0.513 0.785 0.853
Al: 0.189 0.811 0.250
Si: 0.004 0.272 0.003

Output
- E: -35.4 eV per formula unit
- ΔE_f (raw): -16.93 kcal/mol of atoms
- SG: No. 15

No. 5
This record from Alexandria via LeMat-Bulk describes a relaxed structure of Zr2AlSi3. The functional is PBE-GGA.

Cell: 5.307 5.307 4.653 Å, 90.00 90.00 120.00°
Fractional positions:
Al: 0.000 0.000 0.000
Si: 0.500 0.500 0.500
Si: 0.000 0.500 0.500
Si: 0.500 0.000 0.500
Zr: 0.333 0.667 0.000
Zr: 0.667 0.333 0.000

Output
- E: -39.0 eV per formula unit
- ΔE_f (raw): -7.36 kcal/mol of atoms
- SG: No. 191
- Energy relative to the lowest polymorph listed for this composition: 227 meV per atom

No. 6
This record from Alexandria via LeMat-Bulk describes a relaxed structure of Zr3Al2Si. The functional is PBE-GGA.

Cell: 6.267 6.268 7.330 Å, 90.00 90.00 120.00°
Fractional positions:
Zr: 0.828 0.172 0.250
Si: 0.000 0.000 0.000
Zr: 0.344 0.172 0.250
Zr: 0.828 0.656 0.250
Si: 0.000 0.000 0.500
Zr: 0.172 0.828 0.750
Zr: 0.172 0.344 0.750
Al: 0.667 0.333 0.578
Al: 0.333 0.667 0.422
Al: 0.333 0.667 0.078
Al: 0.667 0.333 0.922
Zr: 0.656 0.828 0.750

Output
- E: -40.3 eV per formula unit
- ΔE_f (raw): -6.85 kcal/mol of atoms
- SG: No. 194
- Energy relative to the lowest polymorph listed for this composition: 170 meV per atom

No. 7
This record from Alexandria via LeMat-Bulk describes a relaxed structure of ZrAl2Si. The functional is PBE-GGA.

Cell: 3.775 3.774 6.399 Å, 90.01 90.00 120.01°
Fractional positions:
Zr: 0.000 0.000 0.972
Si: 0.667 0.333 0.721
Al: 0.667 0.333 0.293
Al: 0.333 0.666 0.559

Output
- E: -21.5 eV per formula unit
- ΔE_f (raw): -0.10 kcal/mol of atoms
- SG: No. 156

No. 8
This record from Alexandria via LeMat-Bulk describes a relaxed structure of Zr3AlSi2. The functional is PBE-GGA.

Cell: 6.173 6.173 6.954 Å, 90.00 90.00 119.99°
Fractional positions:
Zr: 0.169 0.338 0.688
Si: 0.500 0.000 0.000
Si: 0.000 0.000 0.000
Zr: 0.338 0.169 0.312
Zr: 0.831 0.169 0.312
Si: 0.500 0.500 0.000
Zr: 0.662 0.831 0.688
Al: 0.667 0.333 0.664
Zr: 0.831 0.662 0.312
Si: 0.000 0.500 0.000
Al: 0.333 0.667 0.336
Zr: 0.169 0.831 0.688

Output
- E: -41.9 eV per formula unit
- ΔE_f (raw): -6.35 kcal/mol of atoms
- SG: No. 164
- Energy relative to the lowest polymorph listed for this composition: 269 meV per atom

No. 9
This record from Alexandria via LeMat-Bulk describes a relaxed structure of Zr4Al2Si. The functional is PBE-GGA.

Cell: 4.687 4.687 16.705 Å, 90.00 90.00 120.00°
Fractional positions:
Zr: 0.000 0.000 0.798
Zr: 0.000 0.000 0.122
Zr: 0.667 0.333 0.231
Al: 0.667 0.333 0.700
Zr: 0.000 0.000 0.298
Si: 0.000 0.000 0.961
Si: 0.000 0.000 0.461
Al: 0.667 0.333 0.054
Zr: 0.333 0.667 0.385
Al: 0.333 0.667 0.200
Al: 0.333 0.667 0.554
Zr: 0.333 0.667 0.731
Zr: 0.667 0.333 0.885
Zr: 0.000 0.000 0.622

Output
- E: -46.9 eV per formula unit
- ΔE_f (raw): 0.53 kcal/mol of atoms
- SG: No. 186
- Energy relative to the lowest polymorph listed for this composition: 379 meV per atom

No. 10
This record from Alexandria via LeMat-Bulk describes a relaxed structure of Zr3Al2Si3. The functional is PBE-GGA.

Cell: 7.426 7.426 2.918 Å, 90.00 90.00 120.00°
Fractional positions:
Zr: 0.749 0.000 0.000
Zr: 0.000 0.749 0.000
Si: 0.000 0.393 0.500
Si: 0.607 0.607 0.500
Si: 0.393 0.000 0.500
Zr: 0.251 0.251 0.000
Al: 0.667 0.333 0.000
Al: 0.333 0.667 0.000

Output
- E: -51.3 eV per formula unit
- ΔE_f (raw): -5.35 kcal/mol of atoms
- SG: No. 189
- Energy relative to the lowest polymorph listed for this composition: 361 meV per atom

No. 11
This record from Alexandria via LeMat-Bulk describes a relaxed structure of ZrAl2Si. The functional is PBE-GGA.

Cell: 4.643 4.643 4.643 Å, 60.00 60.00 60.00°
Fractional positions:
Si: 0.250 0.250 0.250
Al: 0.750 0.750 0.750
Zr: 0.000 0.000 0.000
Al: 0.500 0.500 0.500

Output
- E: -21.2 eV per formula unit
- ΔE_f (raw): 1.58 kcal/mol of atoms
- SG: No. 216

No. 12
This record from Alexandria via LeMat-Bulk describes a relaxed structure of ZrAl5Si2. The functional is PBE-GGA.

Cell: 4.781 5.531 10.251 Å, 90.00 90.00 90.00°
Fractional positions:
Al: 0.000 0.000 0.000
Al: 0.500 0.736 0.623
Al: 0.500 0.264 0.377
Al: 0.000 0.755 0.753
Al: 0.500 0.764 0.123
Zr: 0.000 0.000 0.500
Si: 0.500 0.746 0.878
Zr: 0.000 0.500 0.000
Al: 0.000 0.745 0.253
Al: 0.500 0.236 0.877
Al: 0.000 0.245 0.247
Si: 0.500 0.246 0.622
Al: 0.000 0.500 0.500
Si: 0.500 0.254 0.122
Si: 0.500 0.754 0.378
Al: 0.000 0.255 0.747

Output
- E: -39.2 eV per formula unit
- ΔE_f (raw): -3.15 kcal/mol of atoms
- SG: No. 55
- Energy relative to the lowest polymorph listed for this composition: 0 meV per atom